# 1
Pm8In2Hg | the Alexandria database | GGA-PBE | relaxed; D(E_F) = 14.95 states/eV per cell; formation enthalpy at 0 K = -0.197 eV per atom; magnetization = 0.0 μB per cell
1.0
-2.720 3.730 8.436
2.720 -3.730 8.436
2.720 3.730 -8.436
Pm In Hg
8 2 1
Direct
0.131 0.361 0.770
0.192 0.192 0.000
0.261 0.000 0.261
0.409 0.639 0.770
0.591 0.361 0.230
0.739 0.000 0.739
0.808 0.808 0.000
0.869 0.639 0.230
0.313 0.813 0.500
0.687 0.187 0.500
0.000 0.500 0.500

# 2
ErSiPt | the Alexandria database | GGA-PBE | relaxed; ΔE_f (raw) = -1221 meV per atom; D(E_F) = 5.92 states/eV per cell; magnetization = 0.0 μB per cell
1.0
-2.137 10.456 3.711
2.137 -10.456 3.711
2.137 10.456 -3.711
Er Si Pt
6 6 6
Direct
0.000 0.000 0.000
0.071 0.905 0.166
0.328 0.997 0.332
0.409 0.909 0.500
0.665 0.997 0.668
0.738 0.905 0.834
0.194 0.292 0.902
0.341 0.612 0.729
0.391 0.292 0.098
0.731 0.293 0.438
0.856 0.293 0.562
0.883 0.612 0.271
0.014 0.618 0.396
0.049 0.284 0.765
0.222 0.618 0.604
0.519 0.284 0.235
0.549 0.622 0.928
0.694 0.622 0.072

# 3
Zr2BeBr | the Alexandria database | GGA-PBE | relaxed; ΔE_f (raw) = 93 meV per atom; D(E_F) = 2.49 states/eV per cell; magnetization = 0.0 μB per cell
1.0
-1.974 2.553 3.744
1.974 -2.553 3.744
1.974 2.553 -3.744
Zr Be Br
2 1 1
Direct
0.236 0.236 0.000
0.764 0.764 0.000
0.000 0.500 0.500
0.500 0.000 0.500

# 4
BiSbTe3 | the Alexandria database | GGA-PBE | relaxed; ΔE_f (raw) = 499 meV per atom; D(E_F) = 5.76 states/eV per cell; magnetization = 0.0 μB per cell
1.0
5.694 0.000 0.000
0.000 5.694 0.000
0.000 0.000 5.694
Bi Sb Te
1 1 3
Direct
0.000 0.000 0.000
0.500 0.500 0.500
0.000 0.500 0.500
0.500 0.000 0.500
0.500 0.500 0.000

# 5
KTbPb2Br8 | the Alexandria database | GGA-PBE | relaxed; ΔE_f (raw) = -1361 meV per atom; D(E_F) = 0.00 states/eV per cell; magnetization = 0.0 μB per cell
1.0
6.862 0.000 0.000
0.000 9.234 0.000
-0.114 0.000 7.239
K Tb Pb Br
1 1 2 8
Direct
0.000 0.000 0.000
0.000 0.500 0.000
0.500 0.249 0.500
0.500 0.751 0.500
0.238 0.281 0.154
0.238 0.719 0.154
0.239 0.500 0.680
0.269 0.000 0.636
0.731 0.000 0.364
0.761 0.500 0.320
0.762 0.281 0.846
0.762 0.719 0.846

# 6
Cr3C5 | the Alexandria database | GGA-PBE | relaxed; D(E_F) = 5.38 states/eV per cell; formation enthalpy at 0 K = 1.301 eV per atom; magnetization = 0.6 μB per cell
1.0
2.575 -3.159 0.000
2.575 3.159 0.000
0.000 0.000 3.833
Cr C
3 5
Direct
0.000 0.000 0.000
0.296 0.704 0.500
0.704 0.296 0.500
0.000 0.500 0.000
0.148 0.148 0.500
0.500 0.000 0.000
0.500 0.500 0.000
0.852 0.852 0.500

Calculated volume (computed, Å³ per atom): 31.1; 18.4; 18.9; 36.9; 38.2; 7.8
E (computed, eV/f.u.): -45.96; -19.69; -22.12; -14.93; -42.86; -64.58